Record 1
La4Pm10Er, relaxed, DFT GGA-PBE; ΔE_f = 4.69 eV per formula unit; size of the total moment = 0.00 μB per cell; raw total energy = -67.092 eV per cell
1.0
-5.010 5.010 5.321
5.010 -5.010 5.321
5.010 5.010 -5.321
La Pm Er
4 10 1
Cartesian
6.725 0.582 0.000
0.582 3.295 0.000
4.428 1.715 5.321
-1.715 4.428 5.321
3.859 2.952 -1.726
2.058 -1.151 3.595
5.010 0.000 2.661
2.952 6.161 -1.726
3.859 2.952 1.726
1.151 2.058 3.595
2.058 -1.151 7.047
0.000 5.010 2.661
2.952 6.161 1.726
1.151 2.058 7.047
0.000 0.000 0.000



Record 2
LaPm3Er3, relaxed, DFT GGA-PBE; energy relative to the lowest polymorph listed for this composition = 167.8 meV/atom; ΔE_f = 1.36 eV per formula unit; size of the total moment = 0.00 μB per cell; raw total energy = -63.021 eV per cell
1.0
4.357 2.515 7.400
-4.357 2.515 7.400
0.000 -5.031 7.400
La Pm Er
2 6 6
Cartesian
0.000 0.000 3.415
0.000 0.000 18.785
-2.185 0.484 6.365
0.673 -2.134 6.365
-1.512 -1.650 15.834
1.512 1.650 6.365
-0.673 2.134 15.834
2.185 -0.484 15.834
-1.978 0.039 9.795
-1.022 -1.693 12.404
0.955 -1.732 9.795
-0.955 1.732 12.404
1.022 1.693 9.795
1.978 -0.039 12.404



Record 3
LaPm7Er4, relaxed, DFT GGA-PBE; energy relative to the lowest polymorph listed for this composition = 239.5 meV/atom; ΔE_f = 2.92 eV per formula unit; size of the total moment = 0.00 μB per cell; raw total energy = -53.511 eV per cell
1.0
6.058 -3.007 0.000
6.058 3.007 0.000
-5.954 0.000 11.257
La Pm Er
1 7 4
Cartesian
0.000 0.000 0.000
-1.289 0.000 3.751
-2.947 0.000 10.351
1.515 0.000 5.582
6.058 0.000 0.000
4.647 0.000 5.675
9.108 0.000 0.907
7.451 0.000 7.506
-0.991 0.000 7.719
3.108 0.000 2.535
3.053 0.000 8.722
7.152 0.000 3.539



Record 4
La7Pm2Er, relaxed, DFT GGA-PBE; energy relative to the lowest polymorph listed for this composition = 5.8 meV/atom; ΔE_f = 5.63 eV per formula unit; size of the total moment = 0.01 μB per cell; raw total energy = -42.922 eV per cell
1.0
4.497 -8.175 0.000
4.497 8.175 0.000
0.000 0.000 5.625
La Pm Er
7 2 1
Cartesian
0.000 0.000 0.000
2.824 1.849 0.000
4.497 3.906 2.812
2.824 -1.849 0.000
6.171 1.849 0.000
4.497 -3.906 2.812
6.171 -1.849 0.000
4.497 4.881 0.000
4.497 -4.881 0.000
4.497 0.000 2.812



Record 5
LaPm3Er3, relaxed, DFT GGA-PBE; energy relative to the lowest polymorph listed for this composition = 0.0 meV/atom; ΔE_f = 0.18 eV per formula unit; size of the total moment = 0.00 μB per cell; raw total energy = -65.370 eV per cell
1.0
9.663 0.000 0.000
-4.831 8.368 0.000
0.000 0.000 5.783
La Pm Er
2 6 6
Cartesian
0.000 5.579 1.446
4.831 2.789 4.338
-2.078 5.195 4.338
1.372 3.972 4.338
4.125 0.798 1.446
0.706 7.571 4.338
3.460 4.397 1.446
6.909 3.174 1.446
-3.494 6.814 1.446
0.677 1.935 1.446
2.015 0.381 4.338
2.817 7.987 1.446
4.154 6.433 4.338
8.326 1.554 4.338



Record 6
La6Pm3Er, relaxed, DFT GGA-PBE; ΔE_f = 1.16 eV per formula unit; size of the total moment = 0.00 μB per cell; raw total energy = -94.440 eV per cell
1.0
5.460 -9.788 0.000
5.460 9.788 0.000
0.000 0.000 6.648
La Pm Er
12 6 2
Cartesian
5.460 9.175 3.324
3.049 4.063 6.574
5.460 4.261 4.615
3.566 0.779 5.318
3.566 -0.779 1.994
3.049 -4.063 3.250
7.872 4.063 6.574
7.355 0.779 5.318
7.355 -0.779 1.994
5.460 -4.261 1.291
7.872 -4.063 3.250
5.460 -9.175 0.000
1.909 2.329 2.608
1.909 -2.329 5.933
5.460 2.262 1.838
5.460 -2.262 5.162
9.012 2.329 2.608
9.012 -2.329 5.933
5.460 6.102 1.661
5.460 -6.102 4.985



Record 7
La2Pm3Er, relaxed, DFT GGA-PBE; energy relative to the lowest polymorph listed for this composition = 8.5 meV/atom; ΔE_f = 0.37 eV per formula unit; size of the total moment = 0.00 μB per cell; raw total energy = -56.593 eV per cell
1.0
7.131 0.000 0.000
0.000 10.013 0.000
0.000 0.000 5.785
La Pm Er
4 6 2
Cartesian
1.769 1.686 0.000
1.797 6.693 2.893
5.335 3.321 2.893
5.362 8.327 0.000
0.000 5.007 0.000
1.780 3.332 2.893
1.786 8.339 0.000
3.566 0.000 2.893
5.346 1.674 0.000
5.351 6.681 2.893
0.000 0.000 2.893
3.566 5.007 0.000



Record 8
La12Pm7Er, relaxed, DFT GGA-PBE; energy relative to the lowest polymorph listed for this composition = 9.4 meV/atom; ΔE_f = 3.65 eV per formula unit; size of the total moment = 0.02 μB per cell; raw total energy = -93.301 eV per cell
1.0
6.297 3.636 5.203
-6.297 3.636 5.203
0.000 -7.271 5.203
La Pm Er
12 7 1
Cartesian
-5.531 0.716 6.592
-3.385 -4.432 9.018
-0.851 -3.423 6.935
-3.390 -0.974 8.676
-2.539 2.449 6.935
2.146 -5.148 6.592
-2.146 5.148 9.018
2.539 -2.449 8.676
3.390 0.974 6.935
0.851 3.423 8.676
3.385 4.432 6.592
5.531 -0.716 9.018
0.000 0.000 0.000
-1.972 -0.620 4.745
1.523 -1.398 4.745
0.449 2.018 4.745
-0.449 -2.018 10.865
-1.523 1.398 10.865
1.972 0.620 10.865
0.000 0.000 7.805